Record 1
# LiCaZn6Cu

Crystalline LiCaZn6Cu at its relaxed geometry (PBE, Alexandria).

As for the energy of formation from the pure elements: 0.002 eV/atom. As for the space group: Imma, No. 74. The calculation puts the total moment at 0.00 μB per formula unit.

abc: 7.8230 7.8230 7.8230
angles: 128.80 111.23 90.64
Fractional coordinates of all 18 atoms:
Li1 0.5000 0.0000 0.0000
Li2 0.5000 0.5000 0.5000
Ca1 0.0479 0.2979 0.7500
Ca2 0.9521 0.7021 0.2500
Zn1 0.1233 0.3152 0.1900
Zn2 0.1233 0.9333 0.8081
Zn3 0.2577 0.0077 0.2500
Zn4 0.3256 0.5756 0.7500
Zn5 0.3748 0.0667 0.6900
Zn6 0.3748 0.6848 0.3081
Zn7 0.6252 0.3152 0.6919
Zn8 0.6252 0.9333 0.3100
Zn9 0.6744 0.4244 0.2500
Zn10 0.7423 0.9923 0.7500
Zn11 0.8767 0.0667 0.1919
Zn12 0.8767 0.6848 0.8100
Cu1 0.0000 0.5000 0.5000
Cu2 0.5000 0.5000 0.0000



Record 2
# Cr2HgIr

Crystalline Cr2HgIr at its relaxed geometry (PBE, Alexandria).

As for the energy of formation from the pure elements: 0.316 eV/atom. As for the space group: Pmm2, No. 25. The calculation puts the total moment at 0.02 μB per formula unit.

abc: 2.8946 4.4045 4.8812
angles: 90.00 90.00 90.00
Fractional coordinates of all 4 atoms:
Cr1 0.0000 0.0000 0.0000
Cr2 0.0000 0.5000 0.3078
Hg1 0.5000 0.5000 0.8046
Ir1 0.5000 0.0000 0.4443



Record 3
# CdFeRu

Crystalline CdFeRu at its relaxed geometry (PBE, Alexandria).

As for the energy of formation from the pure elements: 0.714 eV/atom. The energy relative to the lowest polymorph listed for this composition is 471.8 meV/atom. As for the space group: F-43m, No. 216. The calculation puts the total moment at 0.00 μB per formula unit.

abc: 4.1168 4.1168 4.1168
angles: 60.00 60.00 60.00
Fractional coordinates of all 3 atoms:
Cd1 0.0000 0.0000 0.0000
Fe1 0.2500 0.2500 0.2500
Ru1 0.5000 0.5000 0.5000



Record 4
# ScSbPb4

Crystalline ScSbPb4 at its relaxed geometry (PBE, Alexandria).

Its formation energy from raw total energies is 208 meV per atom. As for the space group: F-43m, No. 216. The calculation puts the total moment at 0.00 μB per formula unit.

abc: 6.3824 6.3824 6.3824
angles: 60.00 60.00 60.00
Fractional coordinates of all 6 atoms:
Sc1 0.0000 0.0000 0.0000
Sb1 0.2500 0.2500 0.2500
Pb1 0.1238 0.6254 0.6254
Pb2 0.6254 0.1238 0.6254
Pb3 0.6254 0.6254 0.1238
Pb4 0.6254 0.6254 0.6254



| no. | final energy (eV per atom) |
| --- | --- |
| 1 | -1.737 |
| 2 | -6.786 |
| 3 | -5.504 |
| 4 | -4.006 |